Density functional theory data (PBE-GGA) for a relaxed Pr2TmPd crystal.

Results
energy of formation from the pure elements: -8 meV/atom
E above lowest polymorph: 147 kJ/mol of formula units
calculated volume: 31.8 Å³/atom
calculated total energy: -4.814 eV/atom

Cell lengths 3.6822, 3.6822, 32.5396 Å; angles 90.00, 90.00, 120.00 degrees
Space group R-3m (No. 166, hexagonal axes)
Inequivalent atoms, fractional coordinates:
Pr1 0.0000 0.0000 0.1046
Tm1 0.0000 0.0000 0.0000
Pd1 0.0000 0.0000 0.5000